Record 1
# Sb2TePRh

A geometry-optimized Sb2TePRh structure (GGA-PBE, the Alexandria database).

POSCAR file:
```
Sb2TePRh
1.0
4.9946 0.0000 0.0000
0.0000 4.9946 0.0000
0.0000 0.0000 5.1751
Sb Te P Rh
2 1 1 1
Direct
0.0000 0.5000 0.0000
0.5000 0.0000 0.0000
0.0000 0.0000 0.5000
0.0000 0.0000 0.0000
0.5000 0.5000 0.5000
```

Results
Theoretical density in kg/m3: 6496
Total moment in μB per formula unit: 0.00
ΔE_f (raw) in meV per atom: 905
Total DFT energy (no corrections) in eV/atom: -3.924
E above lowest polymorph in meV per atom: 272.9



Record 2
# Sb2TePRh

A geometry-optimized Sb2TePRh structure (GGA-PBE, the Alexandria database).

POSCAR file:
```
Sb2TePRh
1.0
5.0633 0.0000 0.0000
0.0000 5.0633 0.0000
0.0000 0.0000 5.2748
Sb Te P Rh
2 1 1 1
Direct
0.0000 0.5000 0.0000
0.5000 0.0000 0.0000
0.0000 0.0000 0.5000
0.5000 0.5000 0.5000
0.0000 0.0000 0.0000
```

Results
Theoretical density in kg/m3: 6201
Total moment in μB per formula unit: 0.00
ΔE_f (raw) in meV per atom: 632
Total DFT energy (no corrections) in eV/atom: -4.197
E above lowest polymorph in meV per atom: 0.0



Record 3
# SbTe2PRh

A geometry-optimized SbTe2PRh structure (GGA-PBE, the Alexandria database).

POSCAR file:
```
SbTe2PRh
1.0
5.1986 0.0000 0.0000
0.0000 5.1986 0.0000
0.0000 0.0000 5.0524
Sb Te P Rh
1 2 1 1
Direct
0.0000 0.0000 0.0000
0.0000 0.5000 0.5000
0.5000 0.0000 0.5000
0.5000 0.5000 0.0000
0.0000 0.0000 0.5000
```

Results
Theoretical density in kg/m3: 6212
Total moment in μB per formula unit: 0.00
ΔE_f (raw) in meV per atom: 671
Total DFT energy (no corrections) in eV/atom: -3.962
E above lowest polymorph in meV per atom: 0.0



Record 4
# Th3SbP2Rh9

A geometry-optimized Th3SbP2Rh9 structure (GGA-PBE, the Alexandria database).

POSCAR file:
```
Th3SbP2Rh9
1.0
5.9094 0.0000 0.0000
-2.9547 5.1177 0.0000
0.0000 0.0000 9.7059
Th Sb P Rh
3 1 2 9
Direct
0.0000 0.0000 0.0000
0.3333 0.6667 0.6734
0.6667 0.3333 0.3266
0.0000 0.0000 0.5000
0.3333 0.6667 0.1537
0.6667 0.3333 0.8463
0.0000 0.5000 0.0000
0.1592 0.3184 0.2882
0.1592 0.8408 0.2882
0.3184 0.1592 0.7118
0.5000 0.0000 0.0000
0.5000 0.5000 0.0000
0.6816 0.8408 0.2882
0.8408 0.1592 0.7118
0.8408 0.6816 0.7118
```

Results
Theoretical density in kg/m3: 10217
Total moment in μB per formula unit: 0.00
ΔE_f (raw) in meV per atom: -759
Total DFT energy (no corrections) in eV/atom: -7.650



Record 5
# Th2SbPRh6

A geometry-optimized Th2SbPRh6 structure (GGA-PBE, the Alexandria database).

POSCAR file:
```
Th2SbPRh6
1.0
5.6562 0.0000 0.0000
0.0000 8.6335 0.0000
0.0000 0.0000 8.0232
Th Sb P Rh
4 2 2 12
Direct
0.2500 0.0043 0.2410
0.2500 0.4957 0.2410
0.7500 0.5043 0.7590
0.7500 0.9957 0.7590
0.2500 0.2500 0.7853
0.7500 0.7500 0.2147
0.2500 0.7500 0.7261
0.7500 0.2500 0.2739
0.0013 0.7500 0.9482
0.0028 0.2500 0.5012
0.2500 0.5026 0.6061
0.2500 0.9974 0.6061
0.4972 0.2500 0.5012
0.4987 0.7500 0.9482
0.5013 0.2500 0.0518
0.5028 0.7500 0.4988
0.7500 0.0026 0.3939
0.7500 0.4974 0.3939
0.9972 0.7500 0.4988
0.9987 0.2500 0.0518
```

Results
Theoretical density in kg/m3: 10462
Total moment in μB per formula unit: 0.00
ΔE_f (raw) in meV per atom: -783
Total DFT energy (no corrections) in eV/atom: -7.631



Record 6
# TmSbP2Rh5

A geometry-optimized TmSbP2Rh5 structure (GGA-PBE, the Alexandria database).

POSCAR file:
```
TmSbP2Rh5
1.0
4.0110 0.0000 0.0000
0.0000 4.0110 0.0000
0.0000 0.0000 10.2454
Tm Sb P Rh
1 1 2 5
Direct
0.0000 0.0000 0.0000
0.0000 0.0000 0.5000
0.5000 0.5000 0.2200
0.5000 0.5000 0.7800
0.0000 0.5000 0.3272
0.0000 0.5000 0.6728
0.5000 0.0000 0.3272
0.5000 0.0000 0.6728
0.5000 0.5000 0.0000
```

Results
Theoretical density in kg/m3: 8736
Total moment in μB per formula unit: 0.00
ΔE_f (raw) in meV per atom: -693
Total DFT energy (no corrections) in eV/atom: -6.934



Record 7
# VSb2PRh

A geometry-optimized VSb2PRh structure (GGA-PBE, the Alexandria database).

POSCAR file:
```
VSb2PRh
1.0
5.0689 0.0000 0.0000
0.0000 5.0689 0.0000
0.0000 0.0000 4.3282
V Sb P Rh
1 2 1 1
Direct
0.0000 0.0000 0.0000
0.0000 0.5000 0.5000
0.5000 0.0000 0.5000
0.0000 0.0000 0.5000
0.5000 0.5000 0.0000
```

Results
Theoretical density in kg/m3: 6396
Total moment in μB per formula unit: 1.65
ΔE_f (raw) in meV per atom: 738
Total DFT energy (no corrections) in eV/atom: -5.287



Record 8
# Y3SbP2Rh9

A geometry-optimized Y3SbP2Rh9 structure (GGA-PBE, the Alexandria database).

POSCAR file:
```
Y3SbP2Rh9
1.0
6.0656 0.0000 0.0000
-3.0328 5.2530 0.0000
0.0000 0.0000 9.2113
Y Sb P Rh
3 1 2 9
Direct
0.0000 0.0000 0.0000
0.3333 0.6667 0.7234
0.6667 0.3333 0.2766
0.0000 0.0000 0.5000
0.3333 0.6667 0.1600
0.6667 0.3333 0.8400
0.0000 0.5000 0.0000
0.1509 0.3019 0.2722
0.1509 0.8491 0.2722
0.3019 0.1509 0.7278
0.5000 0.0000 0.0000
0.5000 0.5000 0.0000
0.6981 0.8491 0.2722
0.8491 0.1509 0.7278
0.8491 0.6981 0.7278
```

Results
Theoretical density in kg/m3: 7788
Total moment in μB per formula unit: 0.00
ΔE_f (raw) in meV per atom: -665
Total DFT energy (no corrections) in eV/atom: -7.365



Question: total moment of number 7 (VSb2PRh)?
Answer: 1.65 μB per formula unit